Entry 1:
The following is a PBE calculation of crystalline Tm4Al7Ga6 at its relaxed geometry, from Alexandria.

Values from the calculation:
Its energy of formation is -420.6 meV/atom. The space group is Im-3m, No. 229.

Cell: 7.481 7.481 7.481 Å, 109.47 109.47 109.47°
Atoms (fractional coordinates):
Tm  0.000  0.500  0.000
Tm  0.500  0.500  0.500
Tm  0.000  0.000  0.500
Tm  0.500  0.000  0.000
Ga  0.307  0.307  0.000
Ga  0.307  0.000  0.307
Ga  0.693  0.693  0.000
Ga  0.693  0.000  0.693
Ga  0.000  0.693  0.693
Ga  0.000  0.307  0.307
Al  0.000  0.000  0.000
Al  0.750  0.250  0.500
Al  0.250  0.500  0.750
Al  0.750  0.500  0.250
Al  0.500  0.750  0.250
Al  0.250  0.750  0.500
Al  0.500  0.250  0.750

---

Entry 2:
The following is a PBE calculation of crystalline Pu2PaTl3S6 at its relaxed geometry, from Alexandria.

Values from the calculation:
As for the raw formation energy: -1.228 eV/atom. The space group is C2/m, No. 12.

Cell: 7.076 7.076 7.865 Å, 98.61 98.61 119.98°
Each line ends with the local moment (μB).
Atoms (fractional coordinates):
Tl  0.831  0.169  0.500  0.02
Tl  0.169  0.831  0.500  0.02
Tl  0.500  0.500  0.500  0.02
S  0.612  0.935  0.806  -0.06
S  0.742  0.742  0.196  -0.06
S  0.935  0.612  0.806  -0.06
S  0.258  0.258  0.804  -0.06
S  0.388  0.065  0.194  -0.06
S  0.065  0.388  0.194  -0.06
Pa  0.000  0.000  0.000  0.90
Pu  0.666  0.334  0.000  5.28
Pu  0.334  0.666  0.000  5.28

---

Entry 3:
The following is a PBE calculation of crystalline Hf2MoPd at its relaxed geometry, from Alexandria.

Values from the calculation:
Its energy of formation is 459.3 meV/atom. The space group is I-42d, No. 122.

Cell: 4.189 4.189 9.654 Å, 77.47 77.47 90.00°
Atoms (fractional coordinates):
Hf  0.875  0.871  0.750
Hf  0.375  0.379  0.750
Hf  0.129  0.625  0.250
Hf  0.621  0.125  0.250
Pd  0.750  0.250  0.500
Pd  0.000  0.000  0.000
Mo  0.250  0.750  0.500
Mo  0.500  0.500  0.000

---

Entry 4:
The following is a PBE calculation of crystalline CeLu2Al at its relaxed geometry, from Alexandria.

Values from the calculation:
Its energy of formation is -164.0 meV/atom. As for the energy above the lowest structure with this stoichiometry: 0.0 meV/atom. The space group is P4/mmm, No. 123.

Cell: 3.406 3.406 8.956 Å, 90.00 90.00 90.00°
Each line ends with the local moment (μB).
Atoms (fractional coordinates):
Ce  0.500  0.500  0.500  0.70
Lu  0.000  0.000  0.215  0.03
Lu  0.000  0.000  0.785  0.03
Al  0.500  0.500  0.000  0.00

---

Entry 5:
The following is a PBE calculation of crystalline Sm4Ho2Er3 at its relaxed geometry, from Alexandria.

Values from the calculation:
Its energy of formation is 92.0 meV/atom. As for the energy above the lowest structure with this stoichiometry: 46.2 meV/atom. The space group is C2/c, No. 15.

Cell: 5.956 10.186 10.186 Å, 69.74 84.00 84.00°
Atoms (fractional coordinates):
Er  0.250  0.349  0.651
Er  0.750  0.651  0.349
Er  0.919  0.016  0.320
Er  0.081  0.984  0.680
Er  0.419  0.320  0.016
Er  0.581  0.680  0.984
Sm  0.454  0.953  0.174
Sm  0.382  0.163  0.382
Sm  0.882  0.382  0.163
Sm  0.546  0.047  0.826
Sm  0.118  0.618  0.837
Sm  0.954  0.174  0.953
Sm  0.046  0.826  0.047
Sm  0.618  0.837  0.618
Ho  0.794  0.291  0.504
Ho  0.706  0.496  0.709
Ho  0.294  0.504  0.291
Ho  0.206  0.709  0.496

---

Entry 6:
The following is a PBE calculation of crystalline AcNd2TlN at its relaxed geometry, from Alexandria.

Values from the calculation:
As for the raw formation energy: -0.728 eV/atom. The space group is P4/mmm, No. 123.

Cell: 5.275 5.100 5.100 Å, 90.00 90.00 90.00°
Atoms (fractional coordinates):
N  0.000  0.000  0.000
Nd  0.000  0.000  0.500
Nd  0.000  0.500  0.000
Ac  0.500  0.000  0.000
Tl  0.500  0.500  0.500

---

Entry 7:
The following is a PBE calculation of crystalline AlAgMo2 at its relaxed geometry, from Alexandria.

Values from the calculation:
Its energy of formation is 230.0 meV/atom. The space group is I-4m2, No. 119.

Cell: 4.828 4.828 4.828 Å, 130.31 130.31 72.92°
Atoms (fractional coordinates):
Mo  0.000  0.000  0.000
Mo  0.250  0.750  0.500
Al  0.750  0.250  0.500
Ag  0.500  0.500  0.000

---

Entry 8:
The following is a PBE calculation of crystalline Y7Ho12Tm at its relaxed geometry, from Alexandria.

Values from the calculation:
Its energy of formation is 306.0 meV/atom. As for the energy above the lowest structure with this stoichiometry: 0.0 meV/atom. The space group is R-3, No. 148.

Cell: 8.656 8.656 8.656 Å, 95.01 95.01 95.01°
Atoms (fractional coordinates):
Ho  0.415  0.479  0.146
Ho  0.854  0.585  0.521
Ho  0.683  0.812  0.251
Ho  0.521  0.854  0.585
Ho  0.188  0.749  0.317
Ho  0.146  0.415  0.479
Ho  0.585  0.521  0.854
Ho  0.251  0.683  0.812
Ho  0.749  0.317  0.188
Ho  0.812  0.251  0.683
Ho  0.479  0.146  0.415
Ho  0.317  0.188  0.749
Y  0.017  0.082  0.350
Y  0.500  0.500  0.500
Y  0.350  0.017  0.082
Y  0.650  0.983  0.918
Y  0.983  0.918  0.650
Y  0.082  0.350  0.017
Y  0.918  0.650  0.983
Tm  0.000  0.000  0.000

---

Entry 9:
The following is a PBE calculation of crystalline ScPt4Au at its relaxed geometry, from Alexandria.

Values from the calculation:
Its energy of formation is -580.1 meV/atom. The space group is F-43m, No. 216.

Cell: 5.292 5.292 5.292 Å, 60.00 60.00 60.00°
Atoms (fractional coordinates):
Pt  0.124  0.625  0.625
Pt  0.625  0.625  0.124
Pt  0.625  0.124  0.625
Pt  0.625  0.625  0.625
Sc  0.250  0.250  0.250
Au  0.000  0.000  0.000

---

Entry 10:
The following is a PBE calculation of crystalline Na2BPH at its relaxed geometry, from Alexandria.

Values from the calculation:
The calculation puts the uncorrected energy at -3.290 eV/atom. The space group is P4/mmm, No. 123.

Cell: 5.234 3.457 5.234 Å, 90.00 90.00 90.00°
Atoms (fractional coordinates):
Na  0.500  0.000  0.000
Na  0.000  0.000  0.500
H  0.500  0.500  0.500
P  0.000  0.500  0.000
B  0.000  0.000  0.000

---

Entry 11:
The following is a PBE calculation of crystalline Sb2W at its relaxed geometry, from Alexandria.

Values from the calculation:
As for the raw formation energy: 0.427 eV/atom. As for the energy above the lowest structure with this stoichiometry: 148.5 meV/atom. The space group is Cmcm, No. 63.

Cell: 7.492 7.492 5.343 Å, 90.00 90.00 153.61°
Atoms (fractional coordinates):
Sb  0.647  0.353  0.750
Sb  0.353  0.647  0.250
Sb  0.948  0.052  0.750
Sb  0.052  0.948  0.250
W  0.705  0.295  0.250
W  0.295  0.705  0.750

---

Entry 12:
The following is a PBE calculation of crystalline ThNp3N4 at its relaxed geometry, from Alexandria.

Values from the calculation:
As for the raw formation energy: -1.194 eV/atom. The space group is Cmmm, No. 65.

Cell: 3.490 6.075 6.075 Å, 70.73 90.00 90.00°
Each line ends with the local moment (μB).
Atoms (fractional coordinates):
N  0.500  0.759  0.259  -0.15
N  0.000  0.232  0.268  -0.12
N  0.000  0.769  0.732  -0.12
N  0.500  0.241  0.741  -0.15
Np  0.500  0.000  0.500  2.94
Np  0.000  0.000  0.000  3.26
Np  0.000  0.500  0.500  3.26
Th  0.500  0.500  0.000  0.08

---

Number 1: theoretical density 6.6 Mg/m³, DOS(E_F) 7.342 states/eV per cell. Number 2: theoretical density 7.8 Mg/m³, DOS(E_F) 21.430 states/eV per cell. Number 3: theoretical density 11.5 Mg/m³, DOS(E_F) 9.156 states/eV per cell. Number 4: theoretical density 8.3 Mg/m³, DOS(E_F) 5.736 states/eV per cell. Number 5: theoretical density 8.3 Mg/m³, DOS(E_F) 24.451 states/eV per cell. Number 6: theoretical density 8.9 Mg/m³, DOS(E_F) 2.973 states/eV per cell. Number 7: theoretical density 8.5 Mg/m³, DOS(E_F) 3.183 states/eV per cell. Number 8: theoretical density 7.2 Mg/m³, DOS(E_F) 18.908 states/eV per cell. Number 9: theoretical density 16.2 Mg/m³, DOS(E_F) 4.065 states/eV per cell. Number 10: theoretical density 1.6 Mg/m³, DOS(E_F) 1.542 states/eV per cell. Number 11: theoretical density 10.6 Mg/m³, DOS(E_F) 4.830 states/eV per cell. Number 12: theoretical density 13.6 Mg/m³, DOS(E_F) 17.147 states/eV per cell.